Record 1
{"formula": "CsGdSb2", "functional": "PBE-GGA", "state": "relaxed", "raw_formation_energy_ev_per_atom": -0.498, "dos_at_fermi_per_ev_fu": 3.697, "crystal_system": "trigonal", "space_group": "R-3m, No. 166", "total_magnetization_mub_per_cell": 6.7, "lattice": [[2.416, 1.395, 8.367], [-2.416, 1.395, 8.367], [0.000, -2.789, 8.367]], "species": ["Cs", "Gd", "Sb", "Sb"], "fractional_positions": [[0.000, 0.000, 0.000], [0.500, 0.500, 0.500], [0.222, 0.222, 0.222], [0.778, 0.778, 0.778]]}

---

Record 2
{"formula": "Nd3Cd3Hg2", "functional": "PBE-GGA", "state": "relaxed", "e_above_lowest_polymorph_ev_per_atom": 0.007, "dos_at_fermi_per_ev_fu": 6.181, "crystal_system": "hexagonal", "formation_energy_ev_per_atom": -0.344, "space_group": "P-62m, No. 189", "total_magnetization_mub_per_cell": 0.0, "lattice": [[7.999, 0.000, 0.000], [-4.000, 6.928, 0.000], [0.000, 0.000, 4.019]], "species": ["Nd", "Nd", "Nd", "Cd", "Cd", "Cd", "Hg", "Hg"], "fractional_positions": [[0.000, 0.395, 0.000], [0.395, 0.000, 0.000], [0.605, 0.605, 0.000], [0.000, 0.774, 0.500], [0.226, 0.226, 0.500], [0.774, 0.000, 0.500], [0.333, 0.667, 0.500], [0.667, 0.333, 0.500]]}

---

Record 3
{"formula": "Tb5TmPb4", "functional": "PBE-GGA", "state": "relaxed", "dos_at_fermi_per_ev_fu": 9.289, "crystal_system": "monoclinic", "formation_energy_ev_per_atom": -0.202, "space_group": "C2/m, No. 12", "total_magnetization_mub_per_cell": 0.0, "lattice": [[8.823, -1.826, 0.000], [8.823, 1.826, 0.000], [-0.285, 0.000, 9.775]], "species": ["Tb", "Tb", "Tb", "Tb", "Tb", "Tm", "Pb", "Pb", "Pb", "Pb"], "fractional_positions": [[0.000, 0.000, 0.000], [0.310, 0.310, 0.111], [0.345, 0.345, 0.740], [0.655, 0.655, 0.260], [0.690, 0.690, 0.889], [0.000, 0.000, 0.500], [0.181, 0.181, 0.569], [0.474, 0.474, 0.252], [0.526, 0.526, 0.748], [0.819, 0.819, 0.431]]}

---

Record 4
{"formula": "Li2TaPt2", "functional": "PBE-GGA", "state": "relaxed", "e_above_lowest_polymorph_ev_per_atom": 0.000, "dos_at_fermi_per_ev_fu": 2.808, "crystal_system": "tetragonal", "formation_energy_ev_per_atom": -0.479, "space_group": "P4/mbm, No. 127", "total_magnetization_mub_per_cell": 0.0, "lattice": [[7.104, 0.000, 0.000], [0.000, 7.104, 0.000], [0.000, 0.000, 2.778]], "species": ["Li", "Li", "Li", "Li", "Ta", "Ta", "Pt", "Pt", "Pt", "Pt"], "fractional_positions": [[0.105, 0.395, 0.000], [0.395, 0.895, 0.000], [0.605, 0.105, 0.000], [0.895, 0.605, 0.000], [0.000, 0.000, 0.000], [0.500, 0.500, 0.000], [0.195, 0.695, 0.500], [0.305, 0.195, 0.500], [0.695, 0.805, 0.500], [0.805, 0.305, 0.500]]}

---

Record 5
{"formula": "Be3HgSb", "functional": "PBE-GGA", "state": "relaxed", "raw_formation_energy_ev_per_atom": 1.148, "e_above_lowest_polymorph_ev_per_atom": 0.234, "dos_at_fermi_per_ev_fu": 3.003, "crystal_system": "cubic", "space_group": "Pm-3m, No. 221", "total_magnetization_mub_per_cell": 0.0, "lattice": [[4.770, 0.000, 0.000], [0.000, 4.770, 0.000], [0.000, 0.000, 4.770]], "species": ["Be", "Be", "Be", "Hg", "Sb"], "fractional_positions": [[0.000, 0.000, 0.500], [0.000, 0.500, 0.000], [0.500, 0.000, 0.000], [0.500, 0.500, 0.500], [0.000, 0.000, 0.000]]}

---

Record 6
{"formula": "Ta2AsPt", "functional": "PBE-GGA", "state": "relaxed", "dos_at_fermi_per_ev_fu": 1.796, "crystal_system": "tetragonal", "formation_energy_ev_per_atom": -0.189, "space_group": "P4/mmm, No. 123", "total_magnetization_mub_per_cell": 0.0, "lattice": [[4.054, 0.000, 0.000], [0.000, 4.054, 0.000], [0.000, 0.000, 4.109]], "species": ["Ta", "Ta", "As", "Pt"], "fractional_positions": [[0.000, 0.500, 0.000], [0.500, 0.000, 0.000], [0.000, 0.000, 0.500], [0.500, 0.500, 0.500]]}